(1)
## ScTiB2H (GGA-PBEsol)

Data for ScTiB2H after structural relaxation.

Output
- E_tot (eV for the cell shown) = -31.1

Lattice parameters (Å, degrees): 4.1127 4.1127 3.4550 90.00 90.00 90.00
Space group P4/mmm (No. 123)
Symmetry-distinct sites (fractional):
Sc 0.0000 0.0000 0.0000
Ti 0.5000 0.5000 0.5000
B 0.0000 0.5000 0.5000
H 0.5000 0.5000 0.0000


(2)
## NaCu2Cl2 (GGA-PBEsol)

Data for NaCu2Cl2 after structural relaxation.

Output
- energy relative to the elements, uncorrected (kJ/mol of formula units) = -190
- E_tot (eV for the cell shown) = -32.1

Lattice parameters (Å, degrees): 3.4644 3.4644 14.6982 90.00 90.00 90.00
Space group I4/mmm (No. 139)
Symmetry-distinct sites (fractional):
Na 0.0000 0.0000 0.0000
Cu 0.0000 0.5000 0.2500
Cl 0.0000 0.0000 0.3914


(3)
## LiSnOsPb2 (GGA-PBEsol)

Data for LiSnOsPb2 after structural relaxation.

Output
- E_tot (eV for the cell shown) = -18.5
- ΔH_f (0 K) (eV per atom) = 1.589

Lattice parameters (Å, degrees): 5.6106 5.6106 4.7083 90.00 90.00 90.00
Space group P4/mmm (No. 123)
Symmetry-distinct sites (fractional):
Li 0.0000 0.0000 0.0000
Sn 0.0000 0.0000 0.5000
Os 0.5000 0.5000 0.0000
Pb 0.0000 0.5000 0.5000


(4)
## Li3As (GGA-PBEsol)

Data for Li3As after structural relaxation.

Output
- E_tot (eV for the cell shown) = -12.6
- ΔH_f (0 K) (eV per atom) = -0.403

Lattice parameters (Å, degrees): 2.8438 4.0657 5.4993 90.00 90.00 90.00
Space group Pmmm (No. 47)
Symmetry-distinct sites (fractional):
Li 0.0000 0.0000 0.0000
Li 0.5000 0.5000 0.2824
As 0.0000 0.0000 0.5000